Compound: Ce8FeOs2
Source: Alexandria
Functional: GGA-PBE
Structure: relaxed

Computed properties:
**DFT formation energy**: -0.083 eV per atom
**Crystal system**: monoclinic

```
data_Ce8FeOs2
_cell_length_a 17.7588
_cell_length_b 4.4023
_cell_length_c 6.5879
_cell_angle_alpha 90.00
_cell_angle_beta 101.60
_cell_angle_gamma 90.00
_symmetry_space_group_name_H-M 'C 1 2/m 1'
_symmetry_Int_Tables_number 12
loop_
_symmetry_equiv_pos_as_xyz
'x,y,z'
'-x,-y,-z'
'-x,y,-z'
'x,-y,z'
'x+1/2,y+1/2,z'
'-x+1/2,-y+1/2,-z'
'-x+1/2,y+1/2,-z'
'x+1/2,-y+1/2,z'
loop_
_atom_site_label
_atom_site_fract_x
_atom_site_fract_y
_atom_site_fract_z
_atom_site_occupancy
Ce1 0.0034 0.0000 0.2450 1
Ce2 0.0922 0.5000 0.4684 1
Ce3 0.1513 0.5000 0.0013 1
Ce4 0.2173 0.0000 0.2769 1
Fe1 0.0000 0.5000 0.0000 1
Os1 0.1688 0.0000 0.7035 1
```

Compound: CeFeOs
Source: Alexandria
Functional: GGA-PBE
Structure: relaxed

Computed properties:
**DFT formation energy**: 0.045 eV per atom
**Crystal system**: hexagonal

```
data_CeFeOs
_cell_length_a 4.0745
_cell_length_b 4.0745
_cell_length_c 4.0884
_cell_angle_alpha 90.00
_cell_angle_beta 90.00
_cell_angle_gamma 120.00
_symmetry_space_group_name_H-M 'P -6 m 2'
_symmetry_Int_Tables_number 187
_symmetry_space_group_name_Hall 'P -6 2'
loop_
_atom_site_label
_atom_site_fract_x
_atom_site_fract_y
_atom_site_fract_z
_atom_site_occupancy
Ce1 0.0000 0.0000 0.0000 1
Fe1 0.6667 0.3333 0.5000 1
Os1 0.3333 0.6667 0.5000 1
```

Compound: Ce4FeOs
Source: Alexandria
Functional: GGA-PBE
Structure: relaxed

Computed properties:
**DFT formation energy**: -0.089 eV per atom
**ΔE to the lowest computed polymorph**: 0.0 kJ per mole of atoms
**Crystal system**: monoclinic

```
data_Ce4FeOs
_cell_length_a 8.3009
_cell_length_b 11.5710
_cell_length_c 5.8379
_cell_angle_alpha 90.00
_cell_angle_beta 102.24
_cell_angle_gamma 90.00
_symmetry_space_group_name_H-M 'C 1 2/c 1'
_symmetry_Int_Tables_number 15
loop_
_symmetry_equiv_pos_as_xyz
'x,y,z'
'-x,-y,-z'
'-x,y,-z+1/2'
'x,-y,z+1/2'
'x+1/2,y+1/2,z'
'-x+1/2,-y+1/2,-z'
'-x+1/2,y+1/2,-z+1/2'
'x+1/2,-y+1/2,z+1/2'
loop_
_atom_site_label
_atom_site_fract_x
_atom_site_fract_y
_atom_site_fract_z
_atom_site_occupancy
Ce1 0.1144 0.1717 0.0320 1
Ce2 0.1842 0.4127 0.4151 1
Fe1 0.0000 0.0057 0.7500 1
Os1 0.0000 0.3757 0.7500 1
```

Compound: Ce6Fe2Os
Source: Alexandria
Functional: GGA-PBE
Structure: relaxed

Computed properties:
**DFT formation energy**: -0.057 eV per atom
**Crystal system**: orthorhombic

```
data_Ce6Fe2Os
_cell_length_a 8.7616
_cell_length_b 9.4540
_cell_length_c 9.7751
_cell_angle_alpha 90.00
_cell_angle_beta 90.00
_cell_angle_gamma 90.00
_symmetry_space_group_name_H-M 'I m m m'
_symmetry_Int_Tables_number 71
_symmetry_space_group_name_Hall '-I 2 2'
loop_
_atom_site_label
_atom_site_fract_x
_atom_site_fract_y
_atom_site_fract_z
_atom_site_occupancy
Ce1 0.0000 0.2350 0.1881 1
Ce2 0.1927 0.1510 0.5000 1
Ce3 0.2011 0.5000 0.3334 1
Fe1 0.0000 0.0000 0.2881 1
Fe2 0.0000 0.3466 0.5000 1
Os1 0.0000 0.0000 0.0000 1
Os2 0.0000 0.5000 0.0000 1
```

Compound: CeFeOs
Source: Alexandria
Functional: GGA-PBE
Structure: relaxed

Computed properties:
**DFT formation energy**: -0.180 eV per atom
**Crystal system**: orthorhombic

```
data_CeFeOs
_cell_length_a 4.8807
_cell_length_b 5.5754
_cell_length_c 7.5613
_cell_angle_alpha 90.00
_cell_angle_beta 90.00
_cell_angle_gamma 90.00
_symmetry_space_group_name_H-M 'I m m a'
_symmetry_Int_Tables_number 74
_symmetry_space_group_name_Hall '-I 2b 2'
loop_
_atom_site_label
_atom_site_fract_x
_atom_site_fract_y
_atom_site_fract_z
_atom_site_occupancy
Ce1 0.0000 0.2500 0.1250 1
Fe1 0.2500 0.2500 0.7500 1
Os1 0.0000 0.0000 0.5000 1
```

Compound: CeFeOs
Source: Alexandria
Functional: GGA-PBE
Structure: relaxed

Computed properties:
**DFT formation energy**: 0.302 eV per atom
**Crystal system**: tetragonal

```
data_CeFeOs
_cell_length_a 6.5629
_cell_length_b 6.5629
_cell_length_c 6.0399
_cell_angle_alpha 90.00
_cell_angle_beta 90.00
_cell_angle_gamma 90.00
_symmetry_space_group_name_H-M 'P 41 21 2'
_symmetry_Int_Tables_number 92
loop_
_symmetry_equiv_pos_as_xyz
'x,y,z'
'-y+1/2,x+1/2,z+1/4'
'-x,-y,z+1/2'
'y+1/2,-x+1/2,z+3/4'
'x+1/2,-y+1/2,-z+3/4'
'-y,-x,-z+1/2'
'-x+1/2,y+1/2,-z+1/4'
'y,x,-z'
loop_
_atom_site_label
_atom_site_fract_x
_atom_site_fract_y
_atom_site_fract_z
_atom_site_occupancy
Ce1 0.2502 0.2502 0.0000 1
Fe1 0.1280 0.1280 0.5000 1
Os1 0.1250 0.8750 0.7500 1
```

Compound: Ce4FeOs
Source: Alexandria
Functional: GGA-PBE
Structure: relaxed

Computed properties:
**DFT formation energy**: 0.019 eV per atom
**ΔE to the lowest computed polymorph**: 10.4 kJ per mole of atoms
**Crystal system**: tetragonal

```
data_Ce4FeOs
_cell_length_a 9.0438
_cell_length_b 9.0438
_cell_length_c 8.1705
_cell_angle_alpha 90.00
_cell_angle_beta 90.00
_cell_angle_gamma 90.00
_symmetry_space_group_name_H-M 'I 41 m d'
_symmetry_Int_Tables_number 109
_symmetry_space_group_name_Hall 'I 4bw -2'
loop_
_atom_site_label
_atom_site_fract_x
_atom_site_fract_y
_atom_site_fract_z
_atom_site_occupancy
Ce1 0.0000 0.1878 0.0000 1
Ce2 0.0000 0.1952 0.5295 1
Fe1 0.0000 0.0000 0.7899 1
Os1 0.0000 0.0000 0.2731 1
```

Compound: CeFeP2Os
Source: Alexandria
Functional: GGA-PBE
Structure: relaxed

Computed properties:
**DFT formation energy**: -0.852 eV per atom
**Crystal system**: tetragonal

```
data_CeFeP2Os
_cell_length_a 3.9462
_cell_length_b 3.9462
_cell_length_c 10.2132
_cell_angle_alpha 90.00
_cell_angle_beta 90.00
_cell_angle_gamma 90.00
_symmetry_space_group_name_H-M 'I -4 m 2'
_symmetry_Int_Tables_number 119
_symmetry_space_group_name_Hall 'I -4 -2'
loop_
_atom_site_label
_atom_site_fract_x
_atom_site_fract_y
_atom_site_fract_z
_atom_site_occupancy
Ce1 0.0000 0.0000 0.0000 1
Fe1 0.0000 0.5000 0.2500 1
P1 0.0000 0.0000 0.3641 1
Os1 0.0000 0.5000 0.7500 1
```

no.,total energy (eV per atom)
1,-7.210
2,-8.497
3,-7.327
4,-7.141
5,-8.722
6,-8.241
7,-7.219
8,-8.141